Arrangement 1

Entry from the Alexandria database: a relaxed structure of CaNi3C (PBEsol).

Cell lengths 3.890, 3.890, 3.890 Å; angles 90.00, 90.00, 90.00 degrees
Element x y z (fractional)
Ca  0.000  0.000  0.000
Ni  0.000  0.500  0.500
Ni  0.500  0.000  0.500
Ni  0.500  0.500  0.000
C  0.500  0.500  0.500

N(E_F) = 7.031 states/eV/cell
Calculated volume = 11.77 Å³ per atom

=====

Arrangement 2

Entry from the Alexandria database: a relaxed structure of CaNi3C (PBEsol).

Cell lengths 4.331, 4.331, 4.331 Å; angles 90.00, 90.00, 90.00 degrees
Element x y z (fractional)
Ca  0.000  0.000  0.000
Ni  0.000  0.000  0.500
Ni  0.000  0.500  0.000
Ni  0.500  0.000  0.000
C  0.500  0.500  0.500

N(E_F) = 6.924 states/eV/cell
Calculated volume = 16.25 Å³ per atom

=====

Which is most stable? The ranking, best first, is arrangement 1, arrangement 2.

=====

Arrangement 1

Entry from the Alexandria database: a relaxed structure of CaOsC3 (PBEsol).

Cell lengths 3.981, 3.981, 3.981 Å; angles 90.00, 90.00, 90.00 degrees
Element x y z (fractional)
Ca  0.000  0.000  0.000
Os  0.500  0.500  0.500
C  0.000  0.500  0.500
C  0.500  0.000  0.500
C  0.500  0.500  0.000

N(E_F) = 2.897 states/eV/cell
Calculated volume = 12.62 Å³ per atom

=====

Arrangement 2

Entry from the Alexandria database: a relaxed structure of CaOsC3 (PBEsol).

Cell lengths 3.968, 3.968, 3.968 Å; angles 90.00, 90.00, 90.00 degrees
Element x y z (fractional)
Ca  0.000  0.000  0.000
Os  0.500  0.500  0.500
C  0.000  0.000  0.500
C  0.000  0.500  0.000
C  0.500  0.000  0.000

N(E_F) = 5.120 states/eV/cell
Calculated volume = 12.50 Å³ per atom

=====

Which is most stable? The ranking, best first, is arrangement 1, arrangement 2.